Computed, not measured: an optimized crystal structure of CdPd3 at the PBE level of DFT.

Output
- Spin magnetization: 0.000 μB/f.u.
- Energy relative to the elements: -0.259 eV per atom

```
CdPd3
1.0
-2.022 2.022 4.001
2.022 -2.022 4.001
2.022 2.022 -4.001
Cd Pd
1 3
Direct
0.000 0.000 0.000
0.250 0.750 0.500
0.500 0.500 0.000
0.750 0.250 0.500
```

Computed, not measured: an optimized crystal structure of Ti6Co3N at the PBE level of DFT.

Output
- E_form (uncorrected): -490 meV/atom
- Spin magnetization: 0.000 μB/f.u.

```
Ti6Co3N
1.0
5.332 0.000 0.000
0.000 6.364 0.000
-4.511 0.000 8.170
Ti Co N
12 6 2
Direct
0.081 0.045 0.240
0.081 0.455 0.740
0.198 0.701 0.065
0.198 0.799 0.565
0.381 0.152 0.054
0.381 0.348 0.554
0.619 0.652 0.446
0.619 0.848 0.946
0.802 0.201 0.435
0.802 0.299 0.935
0.919 0.545 0.260
0.919 0.955 0.760
0.323 0.106 0.737
0.323 0.394 0.237
0.500 0.000 0.500
0.500 0.500 0.000
0.677 0.606 0.763
0.677 0.894 0.263
0.000 0.000 0.000
0.000 0.500 0.500
```

Question: Which value of spin magnetization does entry 2 give?
Answer: 0.000 μB/f.u.

Repeat the second record exactly.
Computed, not measured: an optimized crystal structure of Ti6Co3N at the PBE level of DFT.

Output
- E_form (uncorrected): -490 meV/atom
- Spin magnetization: 0.000 μB/f.u.

```
Ti6Co3N
1.0
5.332 0.000 0.000
0.000 6.364 0.000
-4.511 0.000 8.170
Ti Co N
12 6 2
Direct
0.081 0.045 0.240
0.081 0.455 0.740
0.198 0.701 0.065
0.198 0.799 0.565
0.381 0.152 0.054
0.381 0.348 0.554
0.619 0.652 0.446
0.619 0.848 0.946
0.802 0.201 0.435
0.802 0.299 0.935
0.919 0.545 0.260
0.919 0.955 0.760
0.323 0.106 0.737
0.323 0.394 0.237
0.500 0.000 0.500
0.500 0.500 0.000
0.677 0.606 0.763
0.677 0.894 0.263
0.000 0.000 0.000
0.000 0.500 0.500
```

Copy entry 1 word for word.
Computed, not measured: an optimized crystal structure of CdPd3 at the PBE level of DFT.

Output
- Spin magnetization: 0.000 μB/f.u.
- Energy relative to the elements: -0.259 eV per atom

```
CdPd3
1.0
-2.022 2.022 4.001
2.022 -2.022 4.001
2.022 2.022 -4.001
Cd Pd
1 3
Direct
0.000 0.000 0.000
0.250 0.750 0.500
0.500 0.500 0.000
0.750 0.250 0.500
```